(1)
Crystalline Mn3AsO8 at its relaxed geometry, computed with GGA+U.

The structure in POSCAR format:
```
Mn3AsO8
1.0
5.8845 0.0000 0.0000
-2.9422 5.0961 0.0000
0.0000 0.0000 8.7818
Mn As O
6 2 16
Direct
0.1684 0.3369 0.0000
0.1684 0.8316 0.0000
0.3369 0.1684 0.5000
0.6631 0.8316 0.0000
0.8316 0.1684 0.5000
0.8316 0.6631 0.5000
0.3333 0.6667 0.2807
0.6667 0.3333 0.7807
0.0000 0.0000 0.0977
0.0000 0.0000 0.5977
0.0473 0.5237 0.1407
0.1767 0.3534 0.3878
0.1767 0.8233 0.3878
0.3333 0.6667 0.8946
0.3534 0.1767 0.8878
0.4763 0.5237 0.1407
0.4763 0.9527 0.1407
0.5237 0.0473 0.6407
0.5237 0.4763 0.6407
0.6466 0.8233 0.3878
0.6667 0.3333 0.3946
0.8233 0.1767 0.8878
0.8233 0.6466 0.8878
0.9527 0.4763 0.6407
```

Calculated values
The crystal system is hexagonal. For the density of states at the Fermi level, the calculation gives 0.260 states/eV per atom. The total energy is -6.8330 eV/atom. Its symmetry is No. 186.

(2)
Crystalline MnAs2O6 at its relaxed geometry, computed with GGA+U.

The structure in POSCAR format:
```
MnAs2O6
1.0
4.8853 0.0000 0.0000
-2.4426 4.2308 0.0000
0.0000 0.0000 4.7831
Mn As O
1 2 6
Direct
0.0000 0.0000 0.0000
0.3333 0.6667 0.5000
0.6667 0.3333 0.5000
0.0000 0.3690 0.2828
0.0000 0.6310 0.7172
0.3690 0.0000 0.2828
0.3690 0.3690 0.7172
0.6310 0.0000 0.7172
0.6310 0.6310 0.2828
```

Calculated values
The crystal system is trigonal. For the density of states at the Fermi level, the calculation gives 0.000 states/eV per atom. The total energy is -6.5397 eV/atom. Its symmetry is No. 162.